BeCrNi3 | the Alexandria database | PBE-GGA | relaxed; uncorrected energy = -27.87 eV/cell; crystal system = cubic; distance to the lowest polymorph of the same formula = 0 meV per atom; DFT formation energy = 0.5646 eV per atom
1.0
3.845 0.000 0.000
0.000 3.845 0.000
0.000 0.000 3.845
Be Cr Ni
1 1 3
direct
0.000 0.000 0.000
0.500 0.500 0.500
0.000 0.000 0.500
0.000 0.500 0.000
0.500 0.000 0.000